(1)
Entry from the Alexandria database: a geometry-optimized Th5Bi4Te structure (PBE).

abc: 4.590 6.464 22.786
angles: 90.00 90.00 90.00
Space group Immm (No. 71)
Symmetry-distinct sites (fractional):
Th  0.000  0.000  0.000 [2 per cell]
Th  0.000  0.000  0.201 [4 per cell]
Th  0.000  0.000  0.404 [4 per cell]
Bi  0.000  0.500  0.198 [4 per cell]
Bi  0.000  0.500  0.399 [4 per cell]
Te  0.000  0.500  0.000 [2 per cell]

Calculated values
* density of states at the Fermi level: 9.8 states/eV/f.u.
* E: -6.22 eV/atom
* raw formation energy: -6.4 eV per formula unit
* total magnetic moment: 0.00 Bohr magnetons per cell

(2)
Entry from the Alexandria database: a geometry-optimized Th5Bi4Te structure (PBE).

abc: 3.924 3.924 19.650
angles: 90.00 90.00 90.00
Space group P4/mmm (No. 123)
Symmetry-distinct sites (fractional):
Th  0.000  0.000  0.000 [1 per cell]
Th  0.000  0.000  0.202 [2 per cell]
Th  0.000  0.000  0.401 [2 per cell]
Bi  0.500  0.500  0.101 [2 per cell]
Bi  0.500  0.500  0.303 [2 per cell]
Te  0.500  0.500  0.500 [1 per cell]

Calculated values
* density of states at the Fermi level: 11.3 states/eV/f.u.
* E: -6.23 eV/atom
* raw formation energy: -6.5 eV per formula unit
* total magnetic moment: 0.00 Bohr magnetons per cell

(3)
Entry from the Alexandria database: a geometry-optimized ThUBiTe structure (PBE).

abc: 7.703 7.703 7.703
angles: 90.00 90.00 90.00
Space group F-43m (No. 216)
Symmetry-distinct sites (fractional):
Th  0.000  0.000  0.000 [4 per cell]
U  0.000  0.000  0.500 [4 per cell]
Bi  0.250  0.250  0.750 [4 per cell]
Te  0.250  0.250  0.250 [4 per cell]

Calculated values
* density of states at the Fermi level: 10.5 states/eV/f.u.
* E: -6.85 eV/atom
* raw formation energy: -1.7 eV per formula unit
* total magnetic moment: 13.49 Bohr magnetons per cell

(4)
Entry from the Alexandria database: a geometry-optimized YThBiTe structure (PBE).

abc: 7.737 7.737 7.737
angles: 90.00 90.00 90.00
Space group F-43m (No. 216)
Symmetry-distinct sites (fractional):
Y  0.000  0.000  0.000 [4 per cell]
Th  0.000  0.000  0.500 [4 per cell]
Bi  0.250  0.250  0.250 [4 per cell]
Te  0.250  0.250  0.750 [4 per cell]

Calculated values
* density of states at the Fermi level: 4.0 states/eV/f.u.
* E: -6.08 eV/atom
* raw formation energy: -3.4 eV per formula unit
* total magnetic moment: 0.02 Bohr magnetons per cell

(5)
Entry from the Alexandria database: a geometry-optimized YTh2Bi2Te2 structure (PBE).

abc: 5.852 5.852 15.670
angles: 90.00 90.00 90.00
Space group I4/mmm (No. 139)
Symmetry-distinct sites (fractional):
Y  0.000  0.000  0.000 [2 per cell]
Th  0.000  0.000  0.386 [4 per cell]
Bi  0.000  0.500  0.000 [4 per cell]
Te  0.000  0.000  0.194 [4 per cell]

Calculated values
* density of states at the Fermi level: 2.4 states/eV/f.u.
* E: -5.51 eV/atom
* raw formation energy: -3.2 eV per formula unit
* total magnetic moment: 1.92 Bohr magnetons per cell

(6)
Entry from the Alexandria database: a geometry-optimized YThBiTe structure (PBE).

abc: 4.474 4.474 6.380
angles: 90.00 90.00 90.00
Space group P4/mmm (No. 123)
Symmetry-distinct sites (fractional):
Y  0.000  0.000  0.000 [1 per cell]
Th  0.500  0.500  0.500 [1 per cell]
Bi  0.500  0.500  0.000 [1 per cell]
Te  0.000  0.000  0.500 [1 per cell]

Calculated values
* density of states at the Fermi level: 2.9 states/eV/f.u.
* E: -6.17 eV/atom
* raw formation energy: -3.8 eV per formula unit
* total magnetic moment: 0.00 Bohr magnetons per cell